This record from OQMD via LeMat-Bulk describes a relaxed structure of Er3ZnIn2CuAu2. The functional is PBE-GGA.

a = 3.8569 Å, b = 7.5852 Å, c = 7.5852 Å
α = 120.06°, β = 90.00°, γ = 90.00°
Closest atoms and distances in Å follow each position.
Fractional positions:
Cu (0.0000, 0.0188, 0.0188)  2 Zn 2.60, 4 In 2.73
Au (0.5000, 0.3306, 0.6615)  1 Zn 2.87, 2 In 2.94, 6 Er 2.97-3.06
Er (0.0000, 0.5779, 0.5779)  4 Au 2.97, 2 Zn 3.15
In (0.5000, 0.9979, 0.7550)  2 Cu 2.73, 2 Au 2.94
Er (0.0000, 0.4040, 0.0051)  4 Au 2.97-3.06, 1 Cu 2.98, 2 Zn 3.27, 4 In 3.31
Er (0.0000, 0.0051, 0.4040)  4 Au 2.97-3.06, 1 Cu 2.98, 2 Zn 3.27, 4 In 3.31
Zn (0.5000, 0.2492, 0.2492)  2 Cu 2.60, 2 Au 2.87
Au (0.5000, 0.6615, 0.3306)  1 Zn 2.87, 2 In 2.94, 6 Er 2.97-3.06
In (0.5000, 0.7550, 0.9979)  2 Cu 2.73, 2 Au 2.94

**Theoretical density**: 10.84 g/cm3
**Space group**: Amm2
**E_tot**: -4.046 eV/atom
**V**: 192.1 Å³/cell